# Zr2Fe2Te

A relaxed Zr2Fe2Te crystal (PBE, the Alexandria database).

The space group is P4/mbm (No. 127) and the conventional cell measures 6.996, 6.996 and 3.665 Å, with angles of 90.00, 90.00 and 90.00 degrees. Symmetry generates all atoms from Zr at (0.175, 0.325, 0.000), Fe at (0.115, 0.615, 0.500) and Te at (0.000, 0.000, 0.500).

# Cd2AgMo

A relaxed Cd2AgMo crystal (PBE, the Alexandria database).

The space group is Pmmm (No. 47) and the conventional cell measures 2.924, 5.017 and 5.140 Å, with angles of 90.00, 90.00 and 90.00 degrees. Symmetry generates all atoms from Cd at (0.000, 0.000, 0.000), Cd at (0.500, 0.000, 0.500), Ag at (0.000, 0.500, 0.500) and Mo at (0.500, 0.500, 0.000).

The formation enthalpy at 0 K comes out at 0.5081 eV per atom. The energy above the most stable polymorph in this dataset is 278 meV/atom.

# ScCu3N3

A relaxed ScCu3N3 crystal (PBE, the Alexandria database).

The space group is Pm-3m (No. 221) and the conventional cell measures 4.253, 4.253 and 4.253 Å, with angles of 90.00, 90.00 and 90.00 degrees. Symmetry generates all atoms from Sc at (0.000, 0.000, 0.000), Cu at (0.000, 0.500, 0.500) and N at (0.000, 0.000, 0.500).

# SrLiYNi2

A relaxed SrLiYNi2 crystal (PBE, the Alexandria database).

The space group is P4/mmm (No. 123) and the conventional cell measures 4.885, 4.885 and 6.093 Å, with angles of 90.00, 90.00 and 90.00 degrees. Symmetry generates all atoms from Sr at (0.000, 0.000, 0.000), Li at (0.500, 0.500, 0.000), Y at (0.000, 0.000, 0.500) and Ni at (0.000, 0.500, 0.500).

The formation enthalpy at 0 K comes out at 0.9355 eV per atom.

# BaTmBi

A relaxed BaTmBi crystal (PBE, the Alexandria database).

The space group is Cmmm (No. 65) and the conventional cell measures 5.716, 5.725 and 14.140 Å, with angles of 90.00, 90.00 and 90.00 degrees. Symmetry generates all atoms from Ba at (0.000, 0.000, 0.163), Tm at (0.000, 0.500, 0.384), Bi at (0.000, 0.000, 0.500) and Bi at (0.000, 0.500, 0.000).

The formation enthalpy at 0 K comes out at -0.3436 eV per atom. The energy above the most stable polymorph in this dataset is 72 meV/atom.

# LiCdHgAu

A relaxed LiCdHgAu crystal (PBE, the Alexandria database).

The space group is I-4m2 (No. 119) and the conventional cell measures 4.319, 4.319 and 8.228 Å, with angles of 90.00, 90.00 and 90.00 degrees. Symmetry generates all atoms from Li at (0.000, 0.000, 0.000), Cd at (0.000, 0.000, 0.500), Hg at (0.000, 0.500, 0.750) and Au at (0.000, 0.500, 0.250).

The formation enthalpy at 0 K comes out at -0.2778 eV per atom. The energy above the most stable polymorph in this dataset is 0 meV/atom.

# KZn2GaPt

A relaxed KZn2GaPt crystal (PBE, the Alexandria database).

The space group is P4/mmm (No. 123) and the conventional cell measures 4.986, 4.986 and 4.824 Å, with angles of 90.00, 90.00 and 90.00 degrees. Symmetry generates all atoms from K at (0.000, 0.000, 0.000), Zn at (0.000, 0.500, 0.500), Ga at (0.500, 0.500, 0.000) and Pt at (0.500, 0.500, 0.500).

The formation enthalpy at 0 K comes out at -0.3254 eV per atom.

# Tm2BeGa

A relaxed Tm2BeGa crystal (PBE, the Alexandria database).

The space group is Fm-3m (No. 225) and the conventional cell measures 6.882, 6.882 and 6.882 Å, with angles of 90.00, 90.00 and 90.00 degrees. Symmetry generates all atoms from Tm at (0.250, 0.250, 0.250), Be at (0.000, 0.000, 0.000) and Ga at (0.000, 0.000, 0.500).

The formation enthalpy at 0 K comes out at -0.2535 eV per atom. The energy above the most stable polymorph in this dataset is 13 meV/atom.

In eV per atom, the final energy values for the records above are, in order, -7.630; -3.370; -6.209; -3.389; -3.769; -1.880; -2.868; -4.177.
In g/cm³, the mass density values for the records above are, in order, 7.8; 9.4; 6.0; 3.4; 7.4; 11.2; 6.0; 8.5.